1.
AgTeC3 | PBEsol | relaxed

E_form (uncorrected) (eV/f.u.): 15.1
Mass density (kg/m³): 6210

Unit cell a=4.172 b=4.172 c=4.172 alpha=90.00 beta=90.00 gamma=90.00
Fractional positions:
Ag: 0.000 0.000 0.000
Te: 0.500 0.500 0.500
C: 0.000 0.500 0.500
C: 0.500 0.000 0.500
C: 0.500 0.500 0.000

=====

2.
Ag3WC | PBEsol | relaxed

Formation energy from the elements (eV per formula unit): 16.02
Mass density (kg/m³): 6955

Unit cell a=4.987 b=4.987 c=4.987 alpha=90.00 beta=90.00 gamma=90.00
Fractional positions:
Ag: 0.000 0.000 0.500
Ag: 0.000 0.500 0.000
Ag: 0.500 0.000 0.000
W: 0.000 0.000 0.000
C: 0.500 0.500 0.500

=====

3.
Y3AgC | PBEsol | relaxed

Formation energy from the elements (eV per formula unit): -1.22
Mass density (kg/m³): 5685

Unit cell a=4.833 b=4.833 c=4.833 alpha=90.00 beta=90.00 gamma=90.00
Fractional positions:
Y: 0.000 0.000 0.500
Y: 0.000 0.500 0.000
Y: 0.500 0.000 0.000
Ag: 0.500 0.500 0.500
C: 0.000 0.000 0.000

=====

4.
ZnAgC3 | PBEsol | relaxed

Formation energy from the elements (eV per formula unit): 14.42
Mass density (kg/m³): 5733

Unit cell a=3.928 b=3.928 c=3.928 alpha=90.00 beta=90.00 gamma=90.00
Fractional positions:
Zn: 0.000 0.000 0.000
Ag: 0.500 0.500 0.500
C: 0.000 0.000 0.500
C: 0.000 0.500 0.000
C: 0.500 0.000 0.000

=====

5.
CaAg2 | PBEsol | relaxed

Formation energy from the elements (eV per formula unit): -0.52
Mass density (kg/m³): 6725

Unit cell a=7.483 b=7.483 c=4.838 alpha=90.00 beta=90.00 gamma=152.20
Fractional positions:
Ca: 0.099 0.901 0.750
Ca: 0.901 0.099 0.250
Ag: 0.228 0.772 0.250
Ag: 0.427 0.573 0.750
Ag: 0.573 0.427 0.250
Ag: 0.772 0.228 0.750

=====

6.
Ca5Ag | PBEsol | relaxed

Formation energy from the elements (eV per formula unit): -0.43
Mass density (kg/m³): 2450

Unit cell a=6.774 b=6.774 c=9.053 alpha=110.57 beta=110.57 gamma=32.71
Fractional positions:
Ca: 0.000 0.000 0.000
Ca: 0.042 0.042 0.421
Ca: 0.370 0.370 0.630
Ca: 0.699 0.699 0.838
Ca: 0.741 0.741 0.259
Ag: 0.370 0.370 0.128

=====

7.
Ca2Ag | PBEsol | relaxed

Formation energy from the elements (eV per formula unit): -0.55
Mass density (kg/m³): 3401

Unit cell a=6.935 b=6.935 c=7.096 alpha=90.00 beta=90.00 gamma=147.46
Fractional positions:
Ca: 0.018 0.982 0.500
Ca: 0.286 0.714 0.689
Ca: 0.714 0.286 0.189
Ca: 0.982 0.018 0.000
Ag: 0.384 0.616 0.281
Ag: 0.616 0.384 0.781

=====

8.
Ca3Ag | PBEsol | relaxed

Formation energy from the elements (eV per formula unit): -0.39
Mass density (kg/m³): 2947

Unit cell a=6.863 b=6.863 c=6.863 alpha=148.06 beta=130.71 gamma=59.95
Fractional positions:
Ca: 0.000 0.000 0.000
Ca: 0.302 0.802 0.500
Ca: 0.698 0.198 0.500
Ag: 0.500 0.500 0.000

=====

| no. | D(E_F) (states/eV/atom) | total magnetization (μB/f.u.) |
| --- | --- | --- |
| 1 | 0.61 | 0.00 |
| 2 | 1.18 | 1.65 |
| 3 | 1.33 | 0.58 |
| 4 | 0.45 | 0.00 |
| 5 | 0.40 | 0.00 |
| 6 | 1.04 | 0.00 |
| 7 | 0.70 | 0.00 |
| 8 | 1.04 | 0.00 |